Record 1
This record from Alexandria describes an optimized crystal structure of FeCuCl2. The functional is PBE-GGA.

Geometry as CIF:
```
data_FeCuCl2
_space_group_name_H-M_alt 'P 1'
_space_group_IT_number 1
_space_group_name_Hall 'P 1'
_cell_length_a 4.852
_cell_length_b 4.852
_cell_length_c 3.280
_cell_angle_alpha 91.28
_cell_angle_beta 91.28
_cell_angle_gamma 92.56
loop_
_atom_site_label
_atom_site_type_symbol
_atom_site_fract_x
_atom_site_fract_y
_atom_site_fract_z
Fe1 Fe 0.000 0.000 0.000
Cu1 Cu 0.500 0.500 0.000
Cl1 Cl 0.000 0.500 0.000
Cl2 Cl 0.500 0.000 0.000
```

**Spin magnetization**: 3.13 μB/f.u.
**Symmetry**: C2/m (12)
**E**: -3.971 eV/atom
**D(E_F)**: 3.6 states/eV/cell

=====

Record 2
This record from Alexandria describes an optimized crystal structure of FeCuCl2. The functional is PBE-GGA.

Geometry as CIF:
```
data_FeCuCl2
_space_group_name_H-M_alt 'P 1'
_space_group_IT_number 1
_space_group_name_Hall 'P 1'
_cell_length_a 8.337
_cell_length_b 8.337
_cell_length_c 8.337
_cell_angle_alpha 23.23
_cell_angle_beta 23.23
_cell_angle_gamma 23.23
loop_
_atom_site_label
_atom_site_type_symbol
_atom_site_fract_x
_atom_site_fract_y
_atom_site_fract_z
Fe1 Fe 0.000 0.000 0.000
Cu1 Cu 0.263 0.263 0.263
Cl1 Cl 0.541 0.541 0.541
Cl2 Cl 0.725 0.725 0.725
```

**Spin magnetization**: 3.37 μB/f.u.
**Symmetry**: R3m (160)
**E**: -4.283 eV/atom
**D(E_F)**: 3.1 states/eV/cell

=====

Record 3
This record from Alexandria describes an optimized crystal structure of Fe3CuCl. The functional is PBE-GGA.

Geometry as CIF:
```
data_Fe3CuCl
_space_group_name_H-M_alt 'P 1'
_space_group_IT_number 1
_space_group_name_Hall 'P 1'
_cell_length_a 4.495
_cell_length_b 4.495
_cell_length_c 4.495
_cell_angle_alpha 90.00
_cell_angle_beta 90.00
_cell_angle_gamma 90.00
loop_
_atom_site_label
_atom_site_type_symbol
_atom_site_fract_x
_atom_site_fract_y
_atom_site_fract_z
Fe1 Fe 0.000 0.000 0.500
Fe2 Fe 0.000 0.500 0.000
Fe3 Fe 0.500 0.000 0.000
Cu1 Cu 0.000 0.000 0.000
Cl1 Cl 0.500 0.500 0.500
```

**Spin magnetization**: 9.37 μB/f.u.
**Symmetry**: Pm-3m (221)
**E**: -5.121 eV/atom
**D(E_F)**: 6.8 states/eV/cell